(1)
Material: NaHoLu2
Method: DFT, GGA-PBE
State: relaxed

Unit cell a=3.4362 b=3.4362 c=37.5708 alpha=90.00 beta=90.00 gamma=120.00
Element x y z (fractional)
Na 0.0000 0.0000 0.0000
Na 0.3333 0.6667 0.6667
Na 0.6667 0.3333 0.3333
Ho 0.0000 0.0000 0.5000
Ho 0.3333 0.6667 0.1667
Ho 0.6667 0.3333 0.8333
Lu 0.0000 0.0000 0.0923
Lu 0.0000 0.0000 0.9077
Lu 0.3333 0.6667 0.5744
Lu 0.3333 0.6667 0.7589
Lu 0.6667 0.3333 0.2411
Lu 0.6667 0.3333 0.4256

Summary:
**Energy**: -3.5454 eV per atom
**ΔH_f (0 K)**: 0.19 eV per atom
**Symmetry**: R-3m

=====

(2)
Material: NaHoLu2
Method: DFT, GGA-PBE
State: relaxed

Unit cell a=3.4958 b=3.4958 c=10.3280 alpha=90.00 beta=90.00 gamma=90.00
Element x y z (fractional)
Na 0.0000 0.0000 0.0000
Ho 0.0000 0.0000 0.5000
Lu 0.5000 0.5000 0.2730
Lu 0.5000 0.5000 0.7270

Summary:
**Energy**: -3.5817 eV per atom
**ΔH_f (0 K)**: 0.15 eV per atom
**Symmetry**: P4/mmm

=====

(3)
Material: HoLu2Nb
Method: DFT, GGA-PBE
State: relaxed

Unit cell a=3.7999 b=3.7999 c=7.2186 alpha=90.00 beta=90.00 gamma=90.00
Element x y z (fractional)
Ho 0.0000 0.0000 0.0000
Lu 0.5000 0.5000 0.2878
Lu 0.5000 0.5000 0.7122
Nb 0.0000 0.0000 0.5000

Summary:
**Energy**: -5.6948 eV per atom
**ΔH_f (0 K)**: 0.23 eV per atom
**Symmetry**: P4/mmm

=====

| no. | distance to the lowest polymorph of the same formula (eV per atom) | D(E_F) (states/eV/cell) |
| --- | --- | --- |
| 1 | 0.036 | 15.48 |
| 2 | 0.000 | 3.62 |
| 3 | 0.000 | 4.88 |